Record 1
The following is a GGA-PBE calculation of a geometry-optimized Nb2Mo3W2 structure, from the Alexandria database.

Structure (POSCAR):
```
Nb2Mo3W2
1.0
-0.385 4.461 0.525
-6.131 -3.002 1.617
-0.185 -0.531 4.401
Nb Mo W
2 3 2
Cartesian
-1.892 1.578 4.585
-4.808 -0.650 1.958
0.000 0.000 0.000
-3.367 1.715 2.304
-3.334 -0.787 4.239
-5.067 1.319 4.424
-1.633 -0.391 2.119
```

Computed properties:
E_form: 329 meV per atom
energy above the most stable polymorph in this dataset: 417 meV per atom
DOS at the Fermi energy: 5.43 states/eV/f.u.

=====

Record 2
The following is a GGA-PBE calculation of a geometry-optimized Nb3Mo2W structure, from the Alexandria database.

Structure (POSCAR):
```
Nb3Mo2W
1.0
4.514 -0.402 -0.692
-1.688 7.724 -0.332
-1.688 -4.117 6.543
Nb Mo W
6 4 2
Cartesian
3.667 -0.494 1.429
1.411 1.687 0.625
-0.844 3.862 -0.166
-2.531 3.699 4.090
1.413 -2.259 2.926
-0.274 1.518 4.895
-0.560 6.634 0.070
-0.560 -1.248 4.646
1.697 -3.429 5.450
1.697 4.452 0.874
-0.560 2.681 2.365
1.697 0.524 3.155
```

Computed properties:
E_form: -108 meV per atom
energy above the most stable polymorph in this dataset: 0 meV per atom
DOS at the Fermi energy: 4.30 states/eV/f.u.

=====

Record 3
The following is a GGA-PBE calculation of a geometry-optimized Nb5MoW2 structure, from the Alexandria database.

Structure (POSCAR):
```
Nb5MoW2
1.0
-0.099 -4.425 -1.362
2.888 -1.446 4.488
-9.315 -1.489 5.514
Nb Mo W
10 2 4
Cartesian
-0.183 -2.880 1.496
-6.343 -4.480 7.144
-1.175 -3.992 5.182
-5.351 -3.368 3.458
-4.473 -2.336 7.913
-1.954 -0.599 2.089
-6.036 -1.632 5.740
-0.391 -1.303 4.262
-3.213 -1.467 5.001
0.000 0.000 0.000
-4.657 -0.745 2.757
1.444 -0.723 2.244
-2.610 -3.265 2.925
-3.916 -4.095 5.715
-7.771 -3.757 4.899
1.245 -3.603 3.742
```

Computed properties:
E_form: 32 meV per atom
DOS at the Fermi energy: 5.52 states/eV/f.u.

=====

Record 4
The following is a GGA-PBE calculation of a geometry-optimized NbMo8W6 structure, from the Alexandria database.

Structure (POSCAR):
```
NbMo8W6
1.0
-2.405 -1.180 1.174
5.745 -6.277 5.460
-2.598 9.023 3.747
Nb Mo W
1 8 6
Cartesian
-1.203 -0.590 0.587
-0.325 2.802 8.315
-3.622 5.657 4.430
-1.608 0.317 3.188
1.066 -1.236 2.066
4.363 -4.090 5.951
2.349 1.250 7.193
0.901 -2.189 5.896
-0.160 3.755 4.485
-0.143 1.614 6.012
-1.762 5.034 6.133
-2.183 2.847 3.072
0.884 -0.048 4.369
2.503 -3.467 4.248
2.925 -1.281 7.309
```

Computed properties:
E_form: 579 meV per atom
energy above the most stable polymorph in this dataset: 286 meV per atom
DOS at the Fermi energy: 12.74 states/eV/f.u.

=====

Record 5
The following is a GGA-PBE calculation of a geometry-optimized Nb2Mo2W5 structure, from the Alexandria database.

Structure (POSCAR):
```
Nb2Mo2W5
1.0
6.429 0.592 -2.576
-1.257 5.779 -3.925
0.360 -0.804 8.859
Nb Mo W
4 4 10
Cartesian
6.696 0.063 5.852
2.910 3.905 -2.694
1.034 1.321 1.931
4.165 4.901 -0.315
3.687 0.803 1.566
0.460 3.950 2.104
5.690 3.536 -2.766
4.793 1.798 3.829
1.173 0.878 6.179
0.198 4.307 -2.337
3.847 0.381 6.059
3.975 5.309 -4.804
1.975 2.602 -0.399
5.907 3.122 1.690
4.665 2.195 -0.573
3.166 3.526 1.870
6.395 0.437 1.413
1.434 5.259 -0.127
```

Computed properties:
E_form: 304 meV per atom
DOS at the Fermi energy: 6.32 states/eV/f.u.

=====

Record 6
The following is a GGA-PBE calculation of a geometry-optimized NbMo2W5 structure, from the Alexandria database.

Structure (POSCAR):
```
NbMo2W5
1.0
-2.435 -5.752 -1.313
-1.008 -0.994 6.223
-1.193 4.667 -2.720
Nb Mo W
1 2 5
Cartesian
-1.295 0.575 -0.118
-1.799 0.078 2.994
-2.512 -2.301 -0.774
-3.109 0.033 -2.135
-1.891 2.908 -1.478
-3.612 -0.464 0.977
-2.395 2.411 1.634
-3.016 -2.798 2.337
```

Computed properties:
E_form: -45 meV per atom
energy above the most stable polymorph in this dataset: 0 meV per atom
DOS at the Fermi energy: 2.30 states/eV/f.u.